Record 1
Tb2DyGe4Pd4 | GGA-PBE | relaxed

Geometry as POSCAR:
```
Tb2DyGe4Pd4
1.0
-2.0837 -3.1166 7.2336
-7.6688 -2.4878 1.1748
7.1227 -0.6526 -3.9013
Dy Ge Pd Tb
1 4 4 2
Direct
0.0000 0.0000 0.0000 Dy
0.2179 0.2179 0.0000 Ge
0.7821 0.7821 0.0000 Ge
0.6882 0.5000 0.1882 Ge
0.3118 0.5000 0.8118 Ge
0.6241 0.3250 0.2992 Pd
0.9742 0.6750 0.2992 Pd
0.0258 0.3250 0.7008 Pd
0.3759 0.6750 0.7008 Pd
0.6260 0.1260 0.5000 Tb
0.3740 0.8740 0.5000 Tb
```

Output
As for the energy: -0.21056 Ha/atom. As for the space-group type: Immm, No. 71.



Record 2
Dy4TlGe4Pd2 | GGA-PBE | relaxed

Geometry as POSCAR:
```
Dy4TlGe4Pd2
1.0
7.9953 -2.1254 0.0000
7.9953 2.1254 0.0000
-2.2095 0.0000 6.8732
Dy Ge Pd Tl
4 4 2 1
Direct
0.3436 0.3436 0.0777 Dy
0.5863 0.5863 0.3790 Dy
0.4137 0.4137 0.6210 Dy
0.6564 0.6564 0.9223 Dy
0.1936 0.1936 0.2393 Ge
0.9367 0.9367 0.3442 Ge
0.0633 0.0633 0.6558 Ge
0.8064 0.8064 0.7607 Ge
0.7808 0.7808 0.3732 Pd
0.2192 0.2192 0.6268 Pd
0.0000 0.0000 0.0000 Tl
```

Output
As for the energy: -0.19618 Ha/atom. As for the space-group type: C2/m, No. 12.



Record 3
DyYGe2Pd4 | GGA-PBE | relaxed

Geometry as POSCAR:
```
DyYGe2Pd4
1.0
-1.8568 -3.9813 -0.1480
2.7872 1.0058 3.2466
-6.9045 3.0347 4.9874
Dy Ge Pd Y
1 2 4 1
Direct
0.6667 0.3333 0.0000 Dy
0.0000 0.0000 0.2503 Ge
0.0000 0.0000 0.7497 Ge
0.3333 0.6667 0.1674 Pd
0.6667 0.3333 0.3308 Pd
0.6667 0.3333 0.6692 Pd
0.3333 0.6667 0.8326 Pd
0.3333 0.6667 0.5000 Y
```

Output
As for the energy: -0.21950 Ha/atom. As for the space-group type: P-6m2, No. 187.



Record 4
PmDyGe | GGA-PBE | relaxed

Geometry as POSCAR:
```
PmDyGe
1.0
0.0000 3.5646 3.5646
3.5646 0.0000 3.5646
3.5646 3.5646 0.0000
Dy Ge Pm
1 1 1
Direct
0.0000 0.0000 0.0000 Dy
0.2500 0.2500 0.2500 Ge
0.7500 0.7500 0.7500 Pm
```

Output
As for the energy: -0.15952 Ha/atom. As for the space-group type: F-43m, No. 216.



Record 5
DyGePt | GGA-PBE | relaxed

Geometry as POSCAR:
```
DyGePt
1.0
7.0268 0.0000 0.0000
0.0000 4.3798 0.0000
0.0000 0.0000 7.6319
Dy Ge Pt
4 4 4
Direct
0.0021 0.7500 0.2037 Dy
0.5021 0.7500 0.2963 Dy
0.4979 0.2500 0.7037 Dy
0.9979 0.2500 0.7963 Dy
0.3082 0.2500 0.0900 Ge
0.8082 0.2500 0.4100 Ge
0.1918 0.7500 0.5900 Ge
0.6918 0.7500 0.9100 Ge
0.7037 0.2500 0.0835 Pt
0.2037 0.2500 0.4165 Pt
0.7963 0.7500 0.5835 Pt
0.2963 0.7500 0.9165 Pt
```

Output
As for the energy: -0.22894 Ha/atom. As for the space-group type: Pnma, No. 62.



Record 6
Dy3Ge6Pt4 | GGA-PBE | relaxed

Geometry as POSCAR:
```
Dy3Ge6Pt4
1.0
-11.9717 21.3506 -9.6655
-3.3664 -2.4499 -1.2420
-3.8550 1.3570 7.7724
Dy Ge Pt
12 24 16
Direct
0.9071 0.2500 0.1125 Dy
0.2193 0.7500 0.1254 Dy
0.5941 0.7500 0.1359 Dy
0.0941 0.7500 0.3641 Dy
0.7193 0.7500 0.3746 Dy
0.4071 0.2500 0.3875 Dy
0.5929 0.7500 0.6125 Dy
0.2807 0.2500 0.6254 Dy
0.9059 0.2500 0.6359 Dy
0.4059 0.2500 0.8641 Dy
0.7807 0.2500 0.8746 Dy
0.0929 0.7500 0.8875 Dy
0.7167 0.7500 0.0222 Ge
0.4988 0.2500 0.1215 Ge
0.1387 0.2500 0.1257 Ge
0.3577 0.7500 0.1262 Ge
0.9967 0.7500 0.1281 Ge
0.7836 0.2500 0.2274 Ge
0.2836 0.2500 0.2726 Ge
0.4967 0.7500 0.3718 Ge
0.8577 0.7500 0.3738 Ge
0.6387 0.2500 0.3743 Ge
0.9988 0.2500 0.3785 Ge
0.2167 0.7500 0.4778 Ge
0.7833 0.2500 0.5222 Ge
0.0012 0.7500 0.6215 Ge
0.3613 0.7500 0.6257 Ge
0.1423 0.2500 0.6262 Ge
0.5033 0.2500 0.6282 Ge
0.7164 0.7500 0.7274 Ge
0.2164 0.7500 0.7726 Ge
0.0033 0.2500 0.8718 Ge
0.6423 0.2500 0.8738 Ge
0.8613 0.7500 0.8743 Ge
0.5012 0.7500 0.8785 Ge
0.2833 0.2500 0.9778 Ge
0.4493 0.7500 0.1206 Pt
0.8126 0.7500 0.1217 Pt
0.6875 0.2500 0.1263 Pt
0.0454 0.2500 0.1293 Pt
0.5454 0.2500 0.3707 Pt
0.1875 0.2500 0.3737 Pt
0.3126 0.7500 0.3783 Pt
0.9493 0.7500 0.3794 Pt
0.0507 0.2500 0.6206 Pt
0.6874 0.2500 0.6217 Pt
0.8125 0.7500 0.6263 Pt
0.4546 0.7500 0.6293 Pt
0.9546 0.7500 0.8707 Pt
0.3125 0.7500 0.8737 Pt
0.1874 0.2500 0.8783 Pt
0.5507 0.2500 0.8794 Pt
```

Output
As for the energy: -0.21806 Ha/atom. As for the space-group type: Pnma, No. 62.



Record 7
DyTm2Ge4Pt4 | GGA-PBE | relaxed

Geometry as POSCAR:
```
DyTm2Ge4Pt4
1.0
-2.0755 3.5554 6.9200
2.0755 -3.5554 6.9200
2.0755 3.5554 -6.9200
Dy Ge Pt Tm
1 4 4 2
Direct
0.0000 0.0000 0.0000 Dy
0.2196 0.2196 0.0000 Ge
0.7804 0.7804 0.0000 Ge
0.6857 0.5000 0.1857 Ge
0.3143 0.5000 0.8143 Ge
0.6231 0.3267 0.2963 Pt
0.9696 0.6733 0.2963 Pt
0.3769 0.6733 0.7037 Pt
0.0304 0.3267 0.7037 Pt
0.6253 0.1253 0.5000 Tm
0.3747 0.8747 0.5000 Tm
```

Output
As for the energy: -0.22426 Ha/atom. As for the space-group type: Immm, No. 71.



Record 8
DyTmGe2Pt | GGA-PBE | relaxed

Geometry as POSCAR:
```
DyTmGe2Pt
1.0
5.2164 -2.1628 0.0000
5.2164 2.1628 0.0000
-4.7519 0.0000 9.1843
Ge Pt Tm Dy
4 2 2 2
Direct
0.4729 0.4729 0.6117 Ge
0.3564 0.3564 0.9479 Ge
0.6436 0.6436 0.0521 Ge
0.5271 0.5271 0.3883 Ge
0.2734 0.2734 0.1678 Pt
0.7266 0.7266 0.8322 Pt
0.8121 0.8121 0.3859 Tm
0.1879 0.1879 0.6141 Tm
0.9915 0.9915 0.1727 Dy
0.0085 0.0085 0.8273 Dy
```

Output
As for the energy: -0.21617 Ha/atom. As for the space-group type: C2/m, No. 12.



Record 9
Dy2YGe4Pt4 | GGA-PBE | relaxed

Geometry as POSCAR:
```
Dy2YGe4Pt4
1.0
-2.0980 3.5660 6.9610
2.0980 -3.5660 6.9610
2.0980 3.5660 -6.9610
Dy Ge Pt Y
2 4 4 1
Direct
0.6255 0.1255 0.5000 Dy
0.3745 0.8745 0.5000 Dy
0.2187 0.2187 0.0000 Ge
0.7813 0.7813 0.0000 Ge
0.6878 0.5000 0.1878 Ge
0.3122 0.5000 0.8122 Ge
0.6227 0.3258 0.2969 Pt
0.9711 0.6742 0.2969 Pt
0.3773 0.6742 0.7031 Pt
0.0289 0.3258 0.7031 Pt
0.0000 0.0000 0.0000 Y
```

Output
As for the energy: -0.23129 Ha/atom. As for the space-group type: Immm, No. 71.



Record 10
DyYGe2Pt | GGA-PBE | relaxed

Geometry as POSCAR:
```
DyYGe2Pt
1.0
-3.2137 -2.1423 -4.1619
0.7740 -3.8798 -4.0727
-1.8893 -3.8526 9.4226
Dy Ge Pt Y
2 4 2 2
Direct
0.0085 0.0085 0.3284 Dy
0.9915 0.9915 0.6716 Dy
0.4739 0.4739 0.1141 Ge
0.3570 0.3570 0.4431 Ge
0.6430 0.6430 0.5569 Ge
0.5261 0.5261 0.8859 Ge
0.7253 0.7253 0.3383 Pt
0.2747 0.2747 0.6617 Pt
0.1868 0.1868 0.1115 Y
0.8132 0.8132 0.8885 Y
```

Output
As for the energy: -0.23137 Ha/atom. As for the space-group type: C2/m, No. 12.



Record 11
RbDyGeSe3 | GGA-PBE | relaxed

Geometry as POSCAR:
```
RbDyGeSe3
1.0
2.2125 -7.6569 0.0000
2.2125 7.6569 0.0000
0.0000 0.0000 11.3492
Dy Ge Rb Se
2 2 2 6
Direct
0.0000 0.0000 0.0000 Dy
0.0000 0.0000 0.5000 Dy
0.4630 0.5370 0.2500 Ge
0.5370 0.4630 0.7500 Ge
0.7451 0.2549 0.2500 Rb
0.2549 0.7451 0.7500 Rb
0.3786 0.6214 0.0436 Se
0.0589 0.9411 0.2500 Se
0.3786 0.6214 0.4564 Se
0.6214 0.3786 0.5436 Se
0.9411 0.0589 0.7500 Se
0.6214 0.3786 0.9564 Se
```

Output
As for the energy: -0.16730 Ha/atom. As for the space-group type: Cmcm, No. 63.



Record 12
RbDyGeTe3 | GGA-PBE | relaxed

Geometry as POSCAR:
```
RbDyGeTe3
1.0
5.9941 5.7048 1.4498
-6.7035 -4.1702 2.8720
7.2286 -8.6801 4.2686
Dy Ge Rb Te
2 2 2 6
Direct
0.0000 0.0000 0.0000 Dy
0.0000 0.0000 0.5000 Dy
0.4609 0.5391 0.2500 Ge
0.5391 0.4609 0.7500 Ge
0.7516 0.2484 0.2500 Rb
0.2484 0.7516 0.7500 Rb
0.3725 0.6275 0.0430 Te
0.0637 0.9363 0.2500 Te
0.3725 0.6275 0.4570 Te
0.6275 0.3725 0.5430 Te
0.9363 0.0637 0.7500 Te
0.6275 0.3725 0.9570 Te
```

Output
As for the energy: -0.15151 Ha/atom. As for the space-group type: Cmcm, No. 63.



Record 13
DyReGe | GGA-PBE | relaxed

Geometry as POSCAR:
```
DyReGe
1.0
-2.9132 0.1330 3.6046
-4.3611 -1.4967 -0.4875
-1.3409 -3.9399 2.0436
Dy Ge Re
1 1 1
Direct
0.0000 0.0000 0.0000 Dy
0.2500 0.2500 0.2500 Ge
0.7500 0.7500 0.7500 Re
```

Output
The energy above the most stable polymorph in this dataset comes out at 967 meV/atom. As for the space-group type: F-43m, No. 216.



Record 14
DyReGe | GGA-PBE | relaxed

Geometry as POSCAR:
```
DyReGe
1.0
1.6626 -0.4144 4.0983
-2.5892 -1.4329 3.3128
0.6461 -4.0370 1.7370
Dy Ge Re
1 1 1
Direct
0.2500 0.2500 0.2500 Dy
0.0000 0.0000 0.0000 Ge
0.7500 0.7500 0.7500 Re
```

Output
The energy above the most stable polymorph in this dataset comes out at 0 meV/atom. As for the space-group type: F-43m, No. 216.



Record 15
DyRe4SiGe | GGA-PBE | relaxed

Geometry as POSCAR:
```
DyRe4SiGe
1.0
-3.6836 -1.5852 0.6255
2.9705 -6.7887 0.2894
3.0110 -5.3613 4.1453
Dy Ge Re Si
1 1 4 1
Direct
0.0000 0.9979 0.9979 Dy
0.5000 0.5819 0.5819 Ge
0.5000 0.1905 0.1905 Re
0.0000 0.3068 0.3068 Re
0.0000 0.6984 0.6984 Re
0.5000 0.8137 0.8137 Re
0.5000 0.4108 0.4108 Si
```

Output
As for the energy: -0.35100 Ha/atom. As for the space-group type: Amm2, No. 38.



Record 16
DyGeSb | GGA-PBE | relaxed

Geometry as POSCAR:
```
DyGeSb
1.0
0.0000 3.5230 3.5230
3.5230 0.0000 3.5230
3.5230 3.5230 0.0000
Dy Ge Sb
1 1 1
Direct
0.0000 0.0000 0.0000 Dy
0.2500 0.2500 0.2500 Ge
0.7500 0.7500 0.7500 Sb
```

Output
As for the energy: -0.17088 Ha/atom. As for the space-group type: F-43m, No. 216.



Record 17
DyGeSb | GGA-PBE | relaxed

Geometry as POSCAR:
```
DyGeSb
1.0
0.0000 3.5411 3.5411
3.5411 0.0000 3.5411
3.5411 3.5411 0.0000
Dy Ge Sb
1 1 1
Direct
0.2500 0.2500 0.2500 Dy
0.7500 0.7500 0.7500 Ge
0.0000 0.0000 0.0000 Sb
```

Output
As for the energy: -0.16867 Ha/atom. As for the space-group type: F-43m, No. 216.



Record 18
DyScGe2 | GGA-PBE | relaxed

Geometry as POSCAR:
```
DyScGe2
1.0
-0.2347 -3.1672 0.0451
-3.0722 0.3053 5.4560
-6.2082 0.4705 0.7319
Dy Ge Sc
1 2 1
Direct
0.0000 0.1431 0.1431 Dy
0.0000 0.3948 0.3948 Ge
0.0000 0.6139 0.6139 Ge
0.0000 0.8481 0.8481 Sc
```

Output
As for the energy: -0.18284 Ha/atom. As for the space-group type: Amm2, No. 38.



Record 19
DyScTa2Ge2 | GGA-PBE | relaxed

Geometry as POSCAR:
```
DyScTa2Ge2
1.0
3.9851 0.0000 0.0000
0.0000 3.9851 0.0000
0.0000 0.0000 7.6695
Dy Ge Sc Ta
1 2 1 2
Direct
0.0000 0.0000 0.3570 Dy
0.5000 0.5000 0.2504 Ge
0.0000 0.0000 0.7452 Ge
0.5000 0.5000 0.6535 Sc
0.5000 0.0000 0.9970 Ta
0.0000 0.5000 0.9970 Ta
```

Output
As for the energy: -0.29017 Ha/atom. As for the space-group type: P4mm, No. 99.



Record 20
DyTlGeSe3 | GGA-PBE | relaxed

Geometry as POSCAR:
```
DyTlGeSe3
1.0
2.1813 -7.1861 0.0000
2.1813 7.1861 0.0000
0.0000 0.0000 11.3086
Dy Ge Se Tl
2 2 6 2
Direct
0.0000 0.0000 0.0000 Dy
0.0000 0.0000 0.5000 Dy
0.4524 0.5476 0.2500 Ge
0.5476 0.4524 0.7500 Ge
0.3684 0.6316 0.0408 Se
0.0609 0.9391 0.2500 Se
0.3684 0.6316 0.4592 Se
0.6316 0.3684 0.5408 Se
0.9391 0.0609 0.7500 Se
0.6316 0.3684 0.9592 Se
0.7318 0.2682 0.2500 Tl
0.2682 0.7318 0.7500 Tl
```

Output
As for the energy: -0.16626 Ha/atom. As for the space-group type: Cmcm, No. 63.



Record 21
DySiGe | GGA-PBE | relaxed

Geometry as POSCAR:
```
DySiGe
1.0
-2.8262 -3.7744 -0.0328
-1.6580 -1.7392 4.0572
-4.5680 0.4657 1.0730
Dy Ge Si
1 1 1
Direct
0.0000 0.0000 0.0000 Dy
0.2500 0.2500 0.2500 Ge
0.7500 0.7500 0.7500 Si
```

Output
The energy above the most stable polymorph in this dataset comes out at 129 meV/atom. As for the space-group type: F-43m, No. 216.



Record 22
DySiGe | GGA-PBE | relaxed

Geometry as POSCAR:
```
DySiGe
1.0
4.0768 -1.7109 1.3922
1.8020 1.3198 4.0616
0.1724 -2.9881 3.5395
Dy Ge Si
1 1 1
Direct
0.2500 0.2500 0.2500 Dy
0.7500 0.7500 0.7500 Ge
0.0000 0.0000 0.0000 Si
```

Output
The energy above the most stable polymorph in this dataset comes out at 0 meV/atom. As for the space-group type: F-43m, No. 216.



Record 23
DySiGeW4 | GGA-PBE | relaxed

Geometry as POSCAR:
```
DySiGeW4
1.0
-1.3161 1.1299 2.9557
7.5729 2.7524 2.3197
5.7438 6.1045 0.2238
Dy Ge Si W
1 1 1 4
Direct
0.0000 0.9978 0.9978 Dy
0.5000 0.5725 0.5725 Ge
0.5000 0.4239 0.4239 Si
0.5000 0.1766 0.1766 W
0.0000 0.3131 0.3131 W
0.0000 0.6902 0.6902 W
0.5000 0.8258 0.8258 W
```

Output
As for the energy: -0.35408 Ha/atom. As for the space-group type: Amm2, No. 38.